No. 1
First-principles (PBE) data for a geometry-optimized Rb2ThAuSe4 structure, as listed in Alexandria via LeMat-Bulk.

**Formation energy (no corrections)**: -965.3 meV per atom

a b c (Å): 8.052 8.052 8.716
angles (deg): 90.00 90.00 90.00
Space group I-4 (No. 82)
One atom of each set of equivalent atoms:
1 Rb 0.000 0.000 0.000 (multiplicity 2)
2 Rb 0.000 0.500 0.250 (multiplicity 2)
3 Th 0.000 0.500 0.750 (multiplicity 2)
4 Au 0.000 0.000 0.500 (multiplicity 2)
5 Se 0.171 0.739 0.578 (multiplicity 8)

=====

No. 2
First-principles (PBE) data for a geometry-optimized RbTh2Au2Se6 structure, as listed in Alexandria via LeMat-Bulk.

**Formation energy (no corrections)**: -1037.7 meV per atom

a b c (Å): 7.763 7.780 8.047
angles (deg): 91.27 118.26 116.04
Space group P-1 (No. 2)
One atom of each set of equivalent atoms:
1 Rb 0.000 0.000 0.000 (multiplicity 1)
2 Th 0.335 0.002 0.666 (multiplicity 2)
3 Au 0.069 0.563 0.311 (multiplicity 2)
4 Se 0.122 0.230 0.670 (multiplicity 2)
5 Se 0.263 0.765 0.934 (multiplicity 2)
6 Se 0.486 0.759 0.555 (multiplicity 2)

=====

no.,calculated volume (Å³/cell),density of states at the Fermi level (states/eV per cell)
1,565,9.192
2,368,6.113